The following is a GGA+U calculation of a relaxed structure of Li4Mn3V3Cr2O16, from the Alexandria database.

a b c (Å): 5.928 5.897 9.584
angles (deg): 89.01 91.64 119.95
Element x y z (fractional)
1 V 0.829 0.159 0.288
2 V 0.664 0.838 0.785
3 V 0.169 0.342 0.787
4 O 0.046 0.516 0.661
5 O 0.002 0.990 0.192
6 O 0.965 0.491 0.164
7 O 0.335 0.675 0.894
8 O 0.665 0.331 0.391
9 O 0.555 0.039 0.154
10 O 0.005 0.000 0.691
11 O 0.670 0.823 0.393
12 O 0.156 0.831 0.402
13 O 0.838 0.178 0.891
14 O 0.479 0.515 0.662
15 O 0.811 0.679 0.902
16 O 0.520 0.475 0.162
17 O 0.505 0.961 0.654
18 O 0.129 0.323 0.402
19 O 0.323 0.181 0.902
20 Li 0.337 0.669 0.105
21 Li 0.994 0.989 0.505
22 Li 0.993 0.007 0.005
23 Li 0.669 0.338 0.603
24 Cr 0.670 0.340 0.017
25 Cr 0.331 0.660 0.515
26 Mn 0.172 0.837 0.790
27 Mn 0.829 0.654 0.285
28 Mn 0.336 0.159 0.288

volume: 290.2 Å³ per cell
total moment: 20.00 μB/f.u.
space group: P1
electronic total energy: -199.95 eV for the cell shown